# 1
A relaxed structure of NpTl3Ag2Br9. Source: the Alexandria database, functional GGA-PBE.

a b c (Å): 7.954 7.954 9.808
angles (deg): 90.00 90.00 120.00
Fractional coordinates of all 15 atoms:
Np (0.000, 0.000, 0.000)
Tl (0.000, 0.000, 0.500)
Tl (0.333, 0.667, 0.267)
Tl (0.667, 0.333, 0.733)
Ag (0.333, 0.667, 0.664)
Ag (0.667, 0.333, 0.336)
Br (0.000, 0.500, 0.500)
Br (0.162, 0.323, 0.831)
Br (0.162, 0.838, 0.831)
Br (0.323, 0.162, 0.169)
Br (0.500, 0.000, 0.500)
Br (0.500, 0.500, 0.500)
Br (0.677, 0.838, 0.831)
Br (0.838, 0.162, 0.169)
Br (0.838, 0.677, 0.169)

**Energy relative to the elements, uncorrected**: -819 meV/atom
**Total DFT energy (no corrections)**: -3.539 eV per atom
**Space-group type**: P-3m1 (164)
**Total moment**: 2.991 μB per formula unit

---

# 2
A relaxed structure of NpTlAgBr6. Source: the Alexandria database, functional GGA-PBE.

a b c (Å): 7.294 7.294 14.689
angles (deg): 90.00 90.00 120.00
Fractional coordinates of all 18 atoms:
Np (0.333, 0.667, 0.250)
Np (0.667, 0.333, 0.750)
Tl (0.000, 0.000, 0.000)
Tl (0.000, 0.000, 0.500)
Ag (0.333, 0.667, 0.750)
Ag (0.667, 0.333, 0.250)
Br (0.013, 0.368, 0.139)
Br (0.013, 0.645, 0.361)
Br (0.355, 0.368, 0.361)
Br (0.355, 0.987, 0.139)
Br (0.368, 0.013, 0.639)
Br (0.368, 0.355, 0.861)
Br (0.632, 0.645, 0.139)
Br (0.632, 0.987, 0.361)
Br (0.645, 0.013, 0.861)
Br (0.645, 0.632, 0.639)
Br (0.987, 0.355, 0.639)
Br (0.987, 0.632, 0.861)

**Energy relative to the elements, uncorrected**: -964 meV/atom
**Total DFT energy (no corrections)**: -4.096 eV per atom
**Space-group type**: P-31c (163)
**Total moment**: 3.000 μB per formula unit

---

# 3
A relaxed structure of AgBr2O2. Source: the Alexandria database, functional GGA-PBE.

a b c (Å): 4.432 4.432 10.440
angles (deg): 102.00 102.00 49.99
Fractional coordinates of all 5 atoms:
Ag (0.000, 0.000, 0.000)
Br (0.340, 0.340, 0.845)
Br (0.660, 0.660, 0.155)
O (0.011, 0.011, 0.443)
O (0.989, 0.989, 0.557)

**Energy relative to the elements, uncorrected**: -113 meV/atom
**Total DFT energy (no corrections)**: -3.336 eV per atom
**Space-group type**: C2/m (12)
**Total moment**: 1.646 μB per formula unit

---

# 4
A relaxed structure of Ag2Br3O. Source: the Alexandria database, functional GGA-PBE.

a b c (Å): 3.998 8.196 13.092
angles (deg): 105.11 90.14 103.59
Fractional coordinates of all 12 atoms:
Ag (0.075, 0.157, 0.255)
Ag (0.405, 0.803, 0.455)
Ag (0.595, 0.197, 0.545)
Ag (0.925, 0.843, 0.745)
Br (0.077, 0.158, 0.665)
Br (0.344, 0.677, 0.619)
Br (0.470, 0.935, 0.886)
Br (0.530, 0.065, 0.114)
Br (0.656, 0.323, 0.381)
Br (0.923, 0.842, 0.335)
O (0.067, 0.493, 0.041)
O (0.933, 0.507, 0.959)

**Energy relative to the elements, uncorrected**: -197 meV/atom
**Total DFT energy (no corrections)**: -2.810 eV per atom
**Space-group type**: P-1 (2)
**Total moment**: 1.000 μB per formula unit

---

# 5
A relaxed structure of Ag3BrO2. Source: the Alexandria database, functional GGA-PBE.

a b c (Å): 4.416 11.299 4.182
angles (deg): 90.00 90.00 90.00
Fractional coordinates of all 12 atoms:
Ag (0.250, 0.049, 0.250)
Ag (0.250, 0.451, 0.250)
Ag (0.250, 0.750, 0.671)
Ag (0.750, 0.250, 0.329)
Ag (0.750, 0.549, 0.750)
Ag (0.750, 0.951, 0.750)
Br (0.250, 0.250, 0.837)
Br (0.750, 0.750, 0.163)
O (0.250, 0.554, 0.714)
O (0.250, 0.946, 0.714)
O (0.750, 0.054, 0.286)
O (0.750, 0.446, 0.286)

**Energy relative to the elements, uncorrected**: -45 meV/atom
**Total DFT energy (no corrections)**: -3.402 eV per atom
**Space-group type**: Pmmn (59)
**Total moment**: 0.000 μB per formula unit

---

# 6
A relaxed structure of AgBrO4. Source: the Alexandria database, functional GGA-PBE.

a b c (Å): 6.208 8.741 8.980
angles (deg): 90.00 125.98 90.00
Fractional coordinates of all 24 atoms:
Ag (0.149, 0.069, 0.376)
Ag (0.149, 0.431, 0.876)
Ag (0.851, 0.569, 0.124)
Ag (0.851, 0.931, 0.624)
Br (0.354, 0.693, 0.633)
Br (0.354, 0.807, 0.133)
Br (0.646, 0.193, 0.867)
Br (0.646, 0.307, 0.367)
O (0.177, 0.643, 0.074)
O (0.177, 0.857, 0.574)
O (0.205, 0.573, 0.458)
O (0.205, 0.927, 0.958)
O (0.339, 0.233, 0.800)
O (0.339, 0.267, 0.300)
O (0.377, 0.618, 0.814)
O (0.377, 0.882, 0.314)
O (0.623, 0.118, 0.686)
O (0.623, 0.382, 0.186)
O (0.661, 0.733, 0.700)
O (0.661, 0.767, 0.200)
O (0.795, 0.073, 0.042)
O (0.795, 0.427, 0.542)
O (0.823, 0.143, 0.426)
O (0.823, 0.357, 0.926)

**Energy relative to the elements, uncorrected**: 273 meV/atom
**Total DFT energy (no corrections)**: -3.786 eV per atom
**Space-group type**: P2_1/c (14)
**Total moment**: 0.000 μB per formula unit